This record from the Alexandria database describes CrAs3I after structural relaxation. The functional is PBE.

Cell: 4.750 4.750 4.750 Å, 90.00 90.00 90.00°
Space group Pm-3m (No. 221)
Inequivalent atoms, fractional coordinates:
Cr 0.000 0.000 0.000
As 0.000 0.000 0.500
I 0.500 0.500 0.500

DOS(E_F), states/eV/f.u.: 3.34
Formation energy (no corrections), eV per atom: 0.3268